No. 1
# CaOs2Au PBE-GGA relaxed
data_CaOs2Au
_cell_length_a 4.1147
_cell_length_b 4.1147
_cell_length_c 20.1046
_cell_angle_alpha 90.00
_cell_angle_beta 90.00
_cell_angle_gamma 90.00
_space_group_name_H-M_alt 'I -4 2 d'
_space_group_IT_number 122
_space_group_name_Hall 'I -4 2bw'
loop_
_atom_site_label
_atom_site_type_symbol
_atom_site_fract_x
_atom_site_fract_y
_atom_site_fract_z
Ca1 Ca 0.0000 0.0000 0.0000
Os1 Os 0.1438 0.2500 0.6250
Au1 Au 0.0000 0.0000 0.5000
# DOS at the Fermi energy = 1.118 states/eV/atom
# total energy = -101.28 eV per cell
# energy relative to the lowest polymorph listed for this composition = 415 meV per atom
# ΔH_f (0 K) = 0.605 eV per atom


No. 2
# Rb2NbTlCl6 PBE-GGA relaxed
data_Rb2NbTlCl6
_cell_length_a 7.3657
_cell_length_b 7.3657
_cell_length_c 46.1313
_cell_angle_alpha 90.00
_cell_angle_beta 90.00
_cell_angle_gamma 120.00
_space_group_name_H-M_alt 'R -3 m'
_space_group_IT_number 166
_space_group_name_Hall '-R 3 2"'
loop_
_atom_site_label
_atom_site_type_symbol
_atom_site_fract_x
_atom_site_fract_y
_atom_site_fract_z
Rb1 Rb 0.0000 0.0000 0.1427
Rb2 Rb 0.0000 0.0000 0.3096
Nb1 Nb 0.0000 0.0000 0.0000
Nb2 Nb 0.0000 0.0000 0.5000
Tl1 Tl 0.0000 0.0000 0.4156
Cl1 Cl 0.0134 0.5067 0.1346
Cl2 Cl 0.0145 0.5072 0.6983
# uncorrected formation energy = -1.4427 eV per atom
# DOS at the Fermi energy = 1.030 states/eV/atom
# total energy = -239.27 eV per cell
# energy relative to the lowest polymorph listed for this composition = 0 meV per atom


No. 3
# K2CrRe PBE-GGA relaxed
data_K2CrRe
_cell_length_a 8.1491
_cell_length_b 8.1491
_cell_length_c 8.1491
_cell_angle_alpha 90.00
_cell_angle_beta 90.00
_cell_angle_gamma 90.00
_space_group_name_H-M_alt 'F m -3 m'
_space_group_IT_number 225
_space_group_name_Hall '-F 4 2 3'
loop_
_atom_site_label
_atom_site_type_symbol
_atom_site_fract_x
_atom_site_fract_y
_atom_site_fract_z
K1 K 0.2500 0.2500 0.2500
Cr1 Cr 0.0000 0.0000 0.0000
Re1 Re 0.0000 0.0000 0.5000
# DOS at the Fermi energy = 2.739 states/eV/atom
# total energy = -63.10 eV per cell
# energy relative to the lowest polymorph listed for this composition = 1261 meV per atom
# ΔH_f (0 K) = 2.123 eV per atom


No. 4
# KTl2 PBE-GGA relaxed
data_KTl2
_cell_length_a 7.9328
_cell_length_b 7.9328
_cell_length_c 7.2450
_cell_angle_alpha 90.00
_cell_angle_beta 90.00
_cell_angle_gamma 90.00
_space_group_name_H-M_alt 'I 4/m c m'
_space_group_IT_number 140
_space_group_name_Hall '-I 4 2c'
loop_
_atom_site_label
_atom_site_type_symbol
_atom_site_fract_x
_atom_site_fract_y
_atom_site_fract_z
K1 K 0.0000 0.0000 0.2500
Tl1 Tl 0.1348 0.3652 0.0000
# DOS at the Fermi energy = 0.352 states/eV/atom
# total energy = -22.23 eV per cell
# energy relative to the lowest polymorph listed for this composition = 205 meV per atom
# ΔH_f (0 K) = 0.091 eV per atom